No. 1
{"formula": "Zr2AsOs", "functional": "SCAN", "state": "PBEsol geometry", "lattice": [[3.288, 0.000, 0.000], [0.000, 3.288, 0.000], [0.000, 0.000, 6.558]], "species": ["Zr", "Zr", "As", "Os"], "frac_coords": [[0.000, 0.000, 0.247], [0.000, 0.000, 0.753], [0.500, 0.500, 0.500], [0.500, 0.500, 0.000]], "formation_energy_ev_per_fu": -2.58}

=====

No. 2
{"formula": "TiReBi2C", "functional": "SCAN", "state": "PBEsol geometry", "lattice": [[5.227, 0.000, 0.000], [0.000, 5.227, 0.000], [0.000, 0.000, 4.566]], "species": ["Ti", "Re", "Bi", "Bi", "C"], "frac_coords": [[0.000, 0.000, 0.000], [0.000, 0.000, 0.500], [0.000, 0.500, 0.000], [0.500, 0.000, 0.000], [0.500, 0.500, 0.500]], "formation_energy_ev_per_fu": 11.51}

=====

Number 1: magnetization 0.000 μB per formula unit. Number 2: magnetization 0.105 μB per formula unit.